VASP calculation (PBE-GGA) on an optimized crystal structure of TaTcPt2.

abc: 4.831 4.828 4.017
angles: 65.46 65.39 49.15
Element x y z (fractional)
1 Ta 0.000 0.000 0.000
2 Tc 0.250 0.250 0.250
3 Pt 0.500 0.500 0.500
4 Pt 0.750 0.750 0.750

Output
Excess energy over the best structure of this formula in the dataset: 136 meV per atom
D(E_F): 1.256 states/eV/atom
Space group: F222, No. 22
Density: 17.6 g/cm3
Crystal system: orthorhombic

VASP calculation (PBE-GGA) on an optimized crystal structure of TaTcPt3.

abc: 4.853 4.853 4.853
angles: 90.00 90.00 90.00
Element x y z (fractional)
1 Ta 0.000 0.000 0.000
2 Tc 0.500 0.500 0.500
3 Pt 0.000 0.000 0.500
4 Pt 0.000 0.500 0.000
5 Pt 0.500 0.000 0.000

Output
Excess energy over the best structure of this formula in the dataset: 0 meV per atom
D(E_F): 1.020 states/eV/atom
Space group: Pm-3m, No. 221
Density: 12.6 g/cm3
Crystal system: cubic

VASP calculation (PBE-GGA) on an optimized crystal structure of TaTcPt2.

abc: 4.920 4.920 4.681
angles: 100.54 100.54 34.74
Element x y z (fractional)
1 Ta 0.000 0.000 0.000
2 Tc 0.500 0.500 0.500
3 Pt 0.247 0.247 0.746
4 Pt 0.753 0.753 0.254

Output
Excess energy over the best structure of this formula in the dataset: 245 meV per atom
D(E_F): 0.766 states/eV/atom
Space group: C2/m, No. 12
Density: 17.5 g/cm3
Crystal system: monoclinic

VASP calculation (PBE-GGA) on an optimized crystal structure of TaTcPt2.

abc: 3.892 3.892 4.117
angles: 90.00 90.00 90.00
Element x y z (fractional)
1 Ta 0.000 0.000 0.000
2 Tc 0.500 0.500 0.000
3 Pt 0.000 0.500 0.500
4 Pt 0.500 0.000 0.500

Output
Excess energy over the best structure of this formula in the dataset: 0 meV per atom
D(E_F): 1.024 states/eV/atom
Space group: P4/mmm, No. 123
Density: 17.8 g/cm3
Crystal system: tetragonal

VASP calculation (PBE-GGA) on an optimized crystal structure of Ta2TcPt.

abc: 4.622 4.622 3.161
angles: 90.00 90.00 99.91
Element x y z (fractional)
1 Ta 0.000 0.500 0.000
2 Ta 0.500 0.000 0.000
3 Tc 0.000 0.000 0.500
4 Pt 0.500 0.500 0.500

Output
D(E_F): 1.041 states/eV/atom
Space group: Cmmm, No. 65
Density: 16.4 g/cm3
Crystal system: orthorhombic

VASP calculation (PBE-GGA) on an optimized crystal structure of Ta2TcPt.

abc: 5.110 5.110 5.110
angles: 137.15 132.18 66.13
Element x y z (fractional)
1 Ta 0.000 0.000 0.000
2 Ta 0.750 0.250 0.500
3 Tc 0.236 0.736 0.500
4 Pt 0.495 0.495 0.000

Output
D(E_F): 0.647 states/eV/atom
Space group: Imm2, No. 44
Density: 16.4 g/cm3
Crystal system: orthorhombic

VASP calculation (PBE-GGA) on an optimized crystal structure of Ta2TcPt.

abc: 2.829 4.038 5.836
angles: 90.00 96.61 90.00
Element x y z (fractional)
1 Ta 0.081 0.000 0.258
2 Ta 0.919 0.000 0.742
3 Tc 0.500 0.500 0.500
4 Pt 0.500 0.500 0.000

Output
D(E_F): 0.823 states/eV/atom
Space group: P2/m, No. 10
Density: 16.4 g/cm3
Crystal system: monoclinic

VASP calculation (PBE-GGA) on an optimized crystal structure of TaTcPt2.

abc: 2.786 2.786 8.207
angles: 90.00 90.00 90.00
Element x y z (fractional)
1 Ta 0.000 0.000 0.000
2 Tc 0.500 0.500 0.266
3 Pt 0.000 0.000 0.491
4 Pt 0.500 0.500 0.758

Output
Excess energy over the best structure of this formula in the dataset: 239 meV per atom
D(E_F): 0.727 states/eV/atom
Space group: P4mm, No. 99
Density: 17.4 g/cm3
Crystal system: tetragonal

VASP calculation (PBE-GGA) on an optimized crystal structure of TaTcPt2.

abc: 4.864 4.864 4.976
angles: 98.64 98.64 32.97
Element x y z (fractional)
1 Ta 0.000 0.000 0.000
2 Tc 0.252 0.252 0.718
3 Pt 0.506 0.506 0.506
4 Pt 0.749 0.749 0.234

Output
Excess energy over the best structure of this formula in the dataset: 170 meV per atom
D(E_F): 0.885 states/eV/atom
Space group: Cm, No. 8
Density: 17.6 g/cm3
Crystal system: monoclinic

VASP calculation (PBE-GGA) on an optimized crystal structure of Ta2TcPt.

abc: 4.909 4.909 5.093
angles: 97.43 97.43 33.06
Element x y z (fractional)
1 Ta 0.243 0.243 0.250
2 Ta 0.757 0.757 0.750
3 Tc 0.000 0.000 0.500
4 Pt 0.500 0.500 0.000

Output
D(E_F): 1.088 states/eV/atom
Space group: C2/m, No. 12
Density: 16.4 g/cm3
Crystal system: monoclinic

VASP calculation (PBE-GGA) on an optimized crystal structure of Ta2TcPt.

abc: 4.783 4.783 4.783
angles: 128.00 128.00 76.63
Element x y z (fractional)
1 Ta 0.250 0.750 0.500
2 Ta 0.750 0.250 0.500
3 Tc 0.000 0.000 0.000
4 Pt 0.500 0.500 0.000

Output
D(E_F): 1.045 states/eV/atom
Space group: I4/mmm, No. 139
Density: 16.5 g/cm3
Crystal system: tetragonal

VASP calculation (PBE-GGA) on an optimized crystal structure of Ta2TcPt.

abc: 5.032 5.032 4.931
angles: 98.10 98.10 32.62
Element x y z (fractional)
1 Ta 0.000 0.000 0.000
2 Ta 0.234 0.234 0.689
3 Tc 0.478 0.478 0.492
4 Pt 0.746 0.746 0.195

Output
D(E_F): 1.083 states/eV/atom
Space group: Cm, No. 8
Density: 16.3 g/cm3
Crystal system: monoclinic

VASP calculation (PBE-GGA) on an optimized crystal structure of TaTcPt2.

abc: 9.486 9.486 9.486
angles: 17.03 17.03 17.03
Element x y z (fractional)
1 Ta 0.000 0.000 0.000
2 Tc 0.754 0.754 0.754
3 Pt 0.252 0.252 0.252
4 Pt 0.499 0.499 0.499

Output
Excess energy over the best structure of this formula in the dataset: 379 meV per atom
D(E_F): 0.790 states/eV/atom
Space group: R3m, No. 160
Density: 17.4 g/cm3
Crystal system: trigonal

VASP calculation (PBE-GGA) on an optimized crystal structure of Ta2TcPt.

abc: 3.330 3.330 5.984
angles: 90.00 90.00 90.00
Element x y z (fractional)
1 Ta 0.000 0.000 0.246
2 Ta 0.000 0.000 0.754
3 Tc 0.500 0.500 0.000
4 Pt 0.500 0.500 0.500

Output
D(E_F): 0.943 states/eV/atom
Space group: P4/mmm, No. 123
Density: 16.4 g/cm3
Crystal system: tetragonal

VASP calculation (PBE-GGA) on an optimized crystal structure of TaTcPt2.

abc: 4.520 4.520 4.520
angles: 60.00 60.00 60.00
Element x y z (fractional)
1 Ta 0.000 0.000 0.000
2 Tc 0.500 0.500 0.500
3 Pt 0.250 0.250 0.250
4 Pt 0.750 0.750 0.750

Output
Excess energy over the best structure of this formula in the dataset: 494 meV per atom
D(E_F): 1.267 states/eV/atom
Space group: Fm-3m, No. 225
Density: 17.0 g/cm3
Crystal system: cubic

Formation energy from the elements values, unit kcal/mol of atoms, following the record order: -9.6, 29.5, -7.0, -12.7, -8.4, -7.6, -8.1, -7.2, -8.8, -3.8, -9.1, -5.8, -4.0, -9.6, -1.3.